Compound: BaCdS2O8
Source: Alexandria via LeMat-Bulk
Functional: PBE
Structure: relaxed

- ΔE_f (raw): -172.6 kJ/mol of atoms
- Density of states at the Fermi level: 0.0 states/eV per cell
- E: -6.019 eV per atom

a = 8.6133 Å, b = 5.4050 Å, c = 8.2265 Å
α = 90.00°, β = 93.28°, γ = 90.00°
Closest atoms and distances in Å follow each position.
Space group C2/m (No. 12)
One atom of each set of equivalent atoms:
1 Ba 0.0000 0.0000 0.0000 [2 per cell]  6 O 2.77-2.83
2 Cd 0.0000 0.0000 0.5000 [2 per cell]  6 O 2.27-2.33
3 S 0.1282 0.5000 0.2747 [4 per cell]  4 O 1.47-1.50
4 O 0.0273 0.2738 0.2841 [8 per cell]  1 S 1.50
5 O 0.1942 0.5000 0.1104 [4 per cell]  1 S 1.50
6 O 0.2451 0.5000 0.4112 [4 per cell]  1 S 1.47

***

Compound: BaCdS2O6
Source: Alexandria via LeMat-Bulk
Functional: PBE
Structure: relaxed

- ΔE_f (raw): -163.1 kJ/mol of atoms
- Density of states at the Fermi level: 0.0 states/eV per cell
- E: -5.775 eV per atom

a = 5.4816 Å, b = 5.4816 Å, c = 18.2442 Å
α = 90.00°, β = 90.00°, γ = 120.00°
Closest atoms and distances in Å follow each position.
Space group R-3 (No. 148, hexagonal axes)
One atom of each set of equivalent atoms:
1 Ba 0.0000 0.0000 0.0000 [3 per cell]  6 O 2.89
2 Cd 0.0000 0.0000 0.5000 [3 per cell]  6 O 2.34
3 S 0.0000 0.0000 0.2125 [6 per cell]  3 O 1.55
4 O 0.0437 0.5806 0.9143 [18 per cell]  1 S 1.55

***

Compound: Ba2CdSbO6
Source: Alexandria via LeMat-Bulk
Functional: PBE
Structure: relaxed

- ΔE_f (raw): -179.6 kJ/mol of atoms
- Density of states at the Fermi level: 35.9 states/eV per cell
- E: -5.725 eV per atom

a = 8.5602 Å, b = 8.5602 Å, c = 8.5602 Å
α = 90.00°, β = 90.00°, γ = 90.00°
Closest atoms and distances in Å follow each position.
Space group Fm-3m (No. 225)
One atom of each set of equivalent atoms:
1 Ba 0.2500 0.2500 0.2500 [8 per cell]  12 O 3.03
2 Cd 0.0000 0.0000 0.0000 [4 per cell]  6 O 2.28
3 Sb 0.0000 0.0000 0.5000 [4 per cell]  6 O 2.00
4 O 0.0000 0.0000 0.2660 [24 per cell]  1 Sb 2.00

***

Compound: Ba3CdSb2O6
Source: Alexandria via LeMat-Bulk
Functional: PBE
Structure: relaxed

- ΔE_f (raw): -174.9 kJ/mol of atoms
- Density of states at the Fermi level: 3.4 states/eV per cell
- E: -5.536 eV per atom

a = 6.0815 Å, b = 6.0815 Å, c = 7.1653 Å
α = 90.00°, β = 90.00°, γ = 120.00°
Closest atoms and distances in Å follow each position.
Space group P-3m1 (No. 164)
One atom of each set of equivalent atoms:
1 Ba 0.0000 0.0000 0.0000 [1 per cell]  6 O 2.87
2 Ba 0.3333 0.6667 0.6361 [2 per cell]  9 O 2.88-3.07
3 Cd 0.0000 0.0000 0.5000 [1 per cell]  6 O 2.32
4 Sb 0.3333 0.6667 0.1421 [2 per cell]  3 O 2.03
5 O 0.1761 0.3523 0.3064 [6 per cell]  1 Sb 2.03

***

Compound: Ba3CdSb2O8
Source: Alexandria via LeMat-Bulk
Functional: PBE
Structure: relaxed

- ΔE_f (raw): -173.8 kJ/mol of atoms
- Density of states at the Fermi level: 3.2 states/eV per cell
- E: -5.701 eV per atom

a = 6.1820 Å, b = 6.1820 Å, c = 7.9376 Å
α = 90.00°, β = 90.00°, γ = 120.00°
Closest atoms and distances in Å follow each position.
Space group P-3m1 (No. 164)
One atom of each set of equivalent atoms:
1 Ba 0.0000 0.0000 0.0000 [1 per cell]  6 O 3.06
2 Ba 0.3333 0.6667 0.6389 [2 per cell]  1 O 2.46
3 Cd 0.0000 0.0000 0.5000 [1 per cell]  6 O 2.33
4 Sb 0.3333 0.6667 0.1969 [2 per cell]  4 O 1.97-2.00
5 O 0.1674 0.3349 0.3117 [6 per cell]  1 Sb 2.00
6 O 0.3333 0.6667 0.9482 [2 per cell]  1 Sb 1.97

***

Compound: Ba2Cd2SbO6
Source: Alexandria via LeMat-Bulk
Functional: PBE
Structure: relaxed

- ΔE_f (raw): -154.0 kJ/mol of atoms
- Density of states at the Fermi level: 5.0 states/eV per cell
- E: -5.191 eV per atom

a = 6.4393 Å, b = 6.4393 Å, c = 16.9537 Å
α = 90.00°, β = 90.00°, γ = 120.00°
Closest atoms and distances in Å follow each position.
Space group R-3m (No. 166, hexagonal axes)
One atom of each set of equivalent atoms:
1 Ba 0.0000 0.0000 0.2086 [6 per cell]  3 O 2.72
2 Cd 0.0000 0.0000 0.4178 [6 per cell]  3 O 2.15
3 Sb 0.0000 0.0000 0.0000 [3 per cell]  6 O 2.05
4 O 0.0518 0.5259 0.7443 [18 per cell]  1 Sb 2.05, 1 Cd 2.15

***

Compound: Ba2ScCdO5
Source: Alexandria via LeMat-Bulk
Functional: PBE
Structure: relaxed

- ΔE_f (raw): -219.8 kJ/mol of atoms
- Density of states at the Fermi level: 9.7 states/eV per cell
- E: -6.265 eV per atom

a = 3.7787 Å, b = 14.4022 Å, c = 10.8996 Å
α = 90.00°, β = 90.00°, γ = 90.00°
Closest atoms and distances in Å follow each position.
Space group Cmc2_1 (No. 36)
One atom of each set of equivalent atoms:
1 Ba 0.0000 0.1131 0.0000 [4 per cell]  6 O 2.62-2.80
2 Ba 0.0000 0.1331 0.6108 [4 per cell]  8 O 2.75-3.03
3 Sc 0.0000 0.4668 0.7878 [4 per cell]  4 O 2.00-2.18
4 Cd 0.0000 0.2184 0.3236 [4 per cell]  6 O 2.38-2.48
5 O 0.0000 0.0481 0.3566 [4 per cell]  2 Sc 2.04
6 O 0.0000 0.2917 0.9552 [4 per cell]  2 Cd 2.38, 1 Ba 2.62
7 O 0.0000 0.3239 0.7015 [4 per cell]  1 Sc 2.26, 2 Cd 2.39
8 O 0.0000 0.3831 0.3107 [4 per cell]  1 Sc 2.18, 1 Cd 2.38
9 O 0.0000 0.4944 0.6079 [4 per cell]  1 Sc 2.00

***

Compound: Ba2ScCdO
Source: Alexandria via LeMat-Bulk
Functional: PBE
Structure: relaxed

- ΔE_f (raw): -112.6 kJ/mol of atoms
- Density of states at the Fermi level: 2.1 states/eV per cell
- E: -4.377 eV per atom

a = 6.0151 Å, b = 6.0151 Å, c = 4.1262 Å
α = 90.00°, β = 90.00°, γ = 90.00°
Closest atoms and distances in Å follow each position.
Space group P4/mmm (No. 123)
One atom of each set of equivalent atoms:
1 Ba 0.0000 0.5000 0.0000 [2 per cell]  2 O 3.01
2 Sc 0.0000 0.0000 0.5000 [1 per cell]  2 O 2.06
3 Cd 0.5000 0.5000 0.5000 [1 per cell]  8 Ba 3.65
4 O 0.0000 0.0000 0.0000 [1 per cell]  2 Sc 2.06